Record 1
Computed, not measured: crystalline InRhW3 at its relaxed geometry at the PBE level of DFT.

POSCAR file:
```
InRhW3
1.0
4.7335 0.0000 0.0000
0.0000 4.7335 0.0000
0.0000 0.0000 4.7335
In Rh W
1 1 3
direct
0.0000 0.0000 0.0000 In
0.5000 0.5000 0.5000 Rh
0.0000 0.5000 0.5000 W
0.5000 0.0000 0.5000 W
0.5000 0.5000 0.0000 W
```

Density in g/cm3: 12.04
Magnetization in Bohr magnetons per cell: 0.000
Energy relative to the elements in eV per atom: 1.82
Energy above the lowest structure with this stoichiometry in meV per atom: 0
E in eV/atom: -7.9658

---

Record 2
Computed, not measured: crystalline NpTaNbOs at its relaxed geometry at the PBE level of DFT.

POSCAR file:
```
NpTaNbOs
1.0
6.5857 0.0000 0.0000
0.0000 6.5857 0.0000
0.0000 0.0000 6.5857
Np Ta Nb Os
4 4 4 4
direct
0.0000 0.0000 0.0000 Np
0.0000 0.5000 0.5000 Np
0.5000 0.0000 0.5000 Np
0.5000 0.5000 0.0000 Np
0.2500 0.2500 0.2500 Ta
0.2500 0.7500 0.7500 Ta
0.7500 0.2500 0.7500 Ta
0.7500 0.7500 0.2500 Ta
0.2500 0.2500 0.7500 Nb
0.2500 0.7500 0.2500 Nb
0.7500 0.2500 0.2500 Nb
0.7500 0.7500 0.7500 Nb
0.0000 0.0000 0.5000 Os
0.0000 0.5000 0.0000 Os
0.5000 0.0000 0.0000 Os
0.5000 0.5000 0.5000 Os
```

Density in g/cm3: 16.30
Magnetization in Bohr magnetons per cell: 12.135
Energy relative to the elements in eV per atom: 0.22
E in eV/atom: -11.2994

---

Record 3
Computed, not measured: crystalline SiBAu at its relaxed geometry at the PBE level of DFT.

POSCAR file:
```
SiBAu
1.0
3.4764 0.0000 0.0000
-0.0756 4.6187 0.0000
-1.3299 -1.0601 5.5694
Si B Au
2 2 2
direct
0.0000 0.0000 0.0000 Si
0.2808 0.5010 0.2576 Si
0.4325 0.1076 0.8459 B
0.7022 0.3990 0.0618 B
0.2971 0.0276 0.4411 Au
0.5029 0.5926 0.7296 Au
```

Density in g/cm3: 8.76
Magnetization in Bohr magnetons per cell: 0.000
E in eV/atom: -4.9458
Energy relative to the elements, uncorrected in eV per atom: 0.18

---

Record 4
Computed, not measured: crystalline TaBS at its relaxed geometry at the PBE level of DFT.

POSCAR file:
```
TaBS
1.0
5.5517 0.0000 0.0000
0.0000 3.2054 0.0000
-0.2313 0.0000 10.3881
Ta B S
4 4 4
direct
0.0064 0.0000 0.1528 Ta
0.4936 0.5000 0.8472 Ta
0.5064 0.5000 0.1528 Ta
0.9936 0.0000 0.8472 Ta
0.1666 0.5000 0.9991 B
0.3334 0.0000 0.0009 B
0.6666 0.0000 0.9991 B
0.8334 0.5000 0.0009 B
0.1796 0.5000 0.3111 S
0.3204 0.0000 0.6889 S
0.6796 0.0000 0.3111 S
0.8204 0.5000 0.6889 S
```

Density in g/cm3: 8.04
Magnetization in Bohr magnetons per cell: 0.000
E in eV/atom: -8.4892
Energy relative to the elements, uncorrected in eV per atom: -0.94

---

Record 5
Computed, not measured: crystalline Li2HfZn9 at its relaxed geometry at the PBE level of DFT.

POSCAR file:
```
Li2HfZn9
1.0
2.5677 1.4825 8.3090
-2.5677 1.4825 8.3090
0.0000 -2.9650 8.3090
Li Hf Zn
2 1 9
direct
0.1412 0.1412 0.1412 Li
0.8588 0.8588 0.8588 Li
0.0000 0.0000 0.0000 Hf
0.0798 0.5872 0.5872 Zn
0.3340 0.3340 0.3340 Zn
0.4128 0.4128 0.9202 Zn
0.4128 0.9202 0.4128 Zn
0.5000 0.5000 0.5000 Zn
0.5872 0.0798 0.5872 Zn
0.5872 0.5872 0.0798 Zn
0.6660 0.6660 0.6660 Zn
0.9202 0.4128 0.4128 Zn
```

Density in g/cm3: 6.83
Magnetization in Bohr magnetons per cell: 0.000
Energy relative to the elements in eV per atom: -0.10
E in eV/atom: -2.2045

---

Record 6
Computed, not measured: crystalline SrLiLa2 at its relaxed geometry at the PBE level of DFT.

POSCAR file:
```
SrLiLa2
1.0
4.1805 0.0000 0.0000
0.0000 5.9877 0.0000
0.0000 0.0000 11.8910
Sr Li La
2 2 4
direct
0.0000 0.0000 0.0000 Sr
0.5000 0.5000 0.0000 Sr
0.0000 0.0000 0.5000 Li
0.5000 0.5000 0.5000 Li
0.0000 0.5000 0.2770 La
0.0000 0.5000 0.7230 La
0.5000 0.0000 0.2770 La
0.5000 0.0000 0.7230 La
```

Density in g/cm3: 4.15
Magnetization in Bohr magnetons per cell: 0.000
Energy relative to the elements in eV per atom: 0.20
Energy above the lowest structure with this stoichiometry in meV per atom: 123
E in eV/atom: -3.1654

---

Record 7
Computed, not measured: crystalline Li2SmMgAu2 at its relaxed geometry at the PBE level of DFT.

POSCAR file:
```
Li2SmMgAu2
1.0
4.5388 0.0000 0.0000
-2.2694 3.9307 0.0000
0.0000 0.0000 6.6555
Li Sm Mg Au
2 1 1 2
direct
0.3333 0.6667 0.1809 Li
0.6667 0.3333 0.8191 Li
0.0000 0.0000 0.5000 Sm
0.0000 0.0000 0.0000 Mg
0.3333 0.6667 0.7722 Au
0.6667 0.3333 0.2278 Au
```

Density in g/cm3: 8.15
Magnetization in Bohr magnetons per cell: 0.000
Energy relative to the elements in eV per atom: -0.55
E in eV/atom: -3.3280

---

Record 8
Computed, not measured: crystalline CaTl2WC at its relaxed geometry at the PBE level of DFT.

POSCAR file:
```
CaTl2WC
1.0
5.5784 0.0000 0.0000
0.0000 5.5784 0.0000
0.0000 0.0000 4.0542
Ca Tl W C
1 2 1 1
direct
0.0000 0.0000 0.0000 Ca
0.0000 0.5000 0.0000 Tl
0.5000 0.0000 0.0000 Tl
0.5000 0.5000 0.5000 W
0.0000 0.0000 0.5000 C
```

Density in g/cm3: 8.49
Magnetization in Bohr magnetons per cell: 0.025
Energy relative to the elements in eV per atom: 2.46
E in eV/atom: -3.3200

---

Repeat the fifth record exactly.
Computed, not measured: crystalline Li2HfZn9 at its relaxed geometry at the PBE level of DFT.

POSCAR file:
```
Li2HfZn9
1.0
2.5677 1.4825 8.3090
-2.5677 1.4825 8.3090
0.0000 -2.9650 8.3090
Li Hf Zn
2 1 9
direct
0.1412 0.1412 0.1412 Li
0.8588 0.8588 0.8588 Li
0.0000 0.0000 0.0000 Hf
0.0798 0.5872 0.5872 Zn
0.3340 0.3340 0.3340 Zn
0.4128 0.4128 0.9202 Zn
0.4128 0.9202 0.4128 Zn
0.5000 0.5000 0.5000 Zn
0.5872 0.0798 0.5872 Zn
0.5872 0.5872 0.0798 Zn
0.6660 0.6660 0.6660 Zn
0.9202 0.4128 0.4128 Zn
```

Density in g/cm3: 6.83
Magnetization in Bohr magnetons per cell: 0.000
Energy relative to the elements in eV per atom: -0.10
E in eV/atom: -2.2045

---

Question: The highest magnetization belongs to which entry?
Answer: NpTaNbOs